Here is a geometry-optimized NaZn2NiF8 structure from the Alexandria database. Energies are from GGA+U.

Geometry as POSCAR:
```
NaZn2NiF8
1.0
5.215 0.000 0.000
-2.608 4.517 0.000
0.000 0.000 7.289
F Na Zn Ni
8 1 2 1
Cartesian
0.000 3.011 3.598
2.608 1.506 3.691
4.428 1.301 1.151
0.733 1.333 6.138
-1.820 3.215 6.138
1.874 3.184 1.151
1.087 4.485 6.138
1.521 0.031 1.151
0.000 0.000 3.645
0.000 3.011 5.457
2.608 1.506 1.832
0.000 0.000 0.000
```

## Properties
E: -3.848 eV per atom